1.
{"formula": "KLaCl", "functional": "SCAN", "state": "single point on PBEsol structure", "cell": [[-2.7173, -2.3742, -1.0246], [2.5600, 1.0334, -2.5394], [4.8786, -5.7789, 3.9966]], "species": ["K", "Cl", "La"], "frac_coords": [[0.6385, 0.6385, 0.2770], [0.9984, 0.9984, 0.9968], [0.3631, 0.3631, 0.7262]], "e_tot_ev_per_atom": -20.827, "volume_a3_per_cell": 103, "de_polymorph_kcal_per_mol_atoms": 0.000}

---

2.
{"formula": "Y4CdRu", "functional": "SCAN", "state": "single point on PBEsol structure", "cell": [[-6.6861, 4.3228, -5.1385], [-6.8422, -5.0973, -4.1226], [-8.8886, 0.4975, 3.2467]], "species": ["Y", "Y", "Y", "Y", "Y", "Y", "Y", "Y", "Y", "Y", "Y", "Y", "Y", "Y", "Y", "Y", "Ru", "Ru", "Ru", "Ru", "Cd", "Cd", "Cd", "Cd"], "frac_coords": [[0.4392, 0.0608, 0.0608], [0.4392, 0.0608, 0.4392], [0.1902, 0.8098, 0.1902], [0.0416, 0.6528, 0.6528], [0.4392, 0.4392, 0.0608], [0.6528, 0.0416, 0.6528], [0.0608, 0.0608, 0.4392], [0.8098, 0.8098, 0.1902], [0.6528, 0.6528, 0.6528], [0.0608, 0.4392, 0.0608], [0.0608, 0.4392, 0.4392], [0.8098, 0.1902, 0.1902], [0.6528, 0.6528, 0.0416], [0.8098, 0.1902, 0.8098], [0.1902, 0.8098, 0.8098], [0.1902, 0.1902, 0.8098], [0.4178, 0.8607, 0.8607], [0.8607, 0.8607, 0.4178], [0.8607, 0.8607, 0.8607], [0.8607, 0.4178, 0.8607], [0.4202, 0.4202, 0.4202], [0.7393, 0.4202, 0.4202], [0.4202, 0.7393, 0.4202], [0.4202, 0.4202, 0.7393]], "e_tot_ev_per_atom": -29.846, "volume_a3_per_cell": 602, "ef_ev_per_atom": -0.411}

---

3.
{"formula": "ScRu3", "functional": "SCAN", "state": "single point on PBEsol structure", "cell": [[-0.5235, 2.5922, 0.7248], [-4.1269, -2.2878, 1.7436], [4.2764, -0.8085, 2.5228]], "species": ["Ru", "Ru", "Ru", "Sc"], "frac_coords": [[0.0000, 0.5000, 0.0000], [0.5000, 0.5000, 0.5000], [0.0000, 0.0000, 0.5000], [0.5000, 0.0000, 0.0000]], "e_tot_ev_per_atom": -29.669, "volume_a3_per_cell": 58, "ef_ev_per_atom": 0.010}